! ErHg4Pb (PBE, relaxed); values from VASP
! - Polymorph energy (0 for the lowest one): 0.041 eV per atom
! - Space group: P4/mmm
&SYSTEM
  ibrav = 0, nat = 6, ntyp = 3
/
ATOMIC_SPECIES
Er 167.26 Er.upf
Hg 200.59 Hg.upf
Pb 207.20 Pb.upf
CELL_PARAMETERS angstrom
3.787 0.000 0.000
0.000 3.787 0.000
0.000 0.000 10.777
ATOMIC_POSITIONS crystal
Er 0.000 0.000 0.000
Hg 0.000 0.000 0.316
Hg 0.000 0.000 0.684
Hg 0.500 0.500 0.159
Hg 0.500 0.500 0.841
Pb 0.500 0.500 0.500